The following is a GGA-PBE calculation of a relaxed structure of Nd3SmIr8, from OQMD.

Values from the calculation:
Calculated volume (Å³ per atom): 18.8
ρ (g cm⁻³): 15.6
Calculated formation energy (eV/f.u.): -8.55

Cell lengths 9.392, 9.392, 9.392 Å; angles 33.55, 33.55, 33.55 degrees
Sites, in units of the cell vectors:
Ir  0.562  0.062  0.062
Ir  0.062  0.562  0.062
Ir  0.563  0.563  0.063
Ir  0.313  0.313  0.313
Ir  0.062  0.062  0.562
Ir  0.563  0.063  0.563
Ir  0.063  0.563  0.563
Ir  0.812  0.812  0.812
Nd  0.000  0.000  0.000
Nd  0.500  0.500  0.500
Nd  0.625  0.625  0.625
Sm  0.125  0.125  0.125